A relaxed structure of NpAlP2. Source: Alexandria, functional PBE.

Cell: 4.2511 4.2511 21.2763 Å, 90.00 90.00 120.00°
Last column: nearest neighbours and their distance in Å.
Space group R-3m (No. 166, hexagonal axes)
Symmetry-distinct sites (fractional):
Np (0.0000, 0.0000, 0.0000)  6 P 2.79
Al (0.0000, 0.0000, 0.5000)  2 P 2.22
P (0.0000, 0.0000, 0.3956)  1 Al 2.22

ΔE_f, eV/atom: -0.037
DOS(E_F), states/eV/cell: 29.54
Polymorph energy (0 for the lowest one), eV per atom: 0.4823

***

A relaxed structure of PmPu2Tc9. Source: Alexandria, functional PBE.

Cell: 9.1119 5.2650 9.5995 Å, 90.00 110.26 90.00°
Last column: nearest neighbours and their distance in Å.
Space group C2/m (No. 12)
Symmetry-distinct sites (fractional):
Pm (0.0000, 0.0000, 0.0000)  6 Tc 2.99-3.06
Pu (0.1491, 0.0000, 0.4363)  12 Tc 3.04-3.25, 3 Pu 3.20-3.34
Tc (0.0000, 0.5000, 0.5000)  6 Tc 2.71-2.83
Tc (0.0886, 0.5000, 0.2455)  7 Tc 2.59-2.83
Tc (0.1646, 0.2469, 0.7508)  7 Tc 2.59-2.73
Tc (0.1689, 0.5000, 0.9925)  6 Tc 2.65-2.77

ΔE_f, eV/atom: 0.090
DOS(E_F), states/eV/cell: 49.10

***

A relaxed structure of Ho2SnSb. Source: Alexandria, functional PBE.

Cell: 4.2146 4.2146 22.9773 Å, 90.00 90.00 120.00°
Last column: nearest neighbours and their distance in Å.
Space group R-3m (No. 166, hexagonal axes)
Symmetry-distinct sites (fractional):
Ho (0.0000, 0.0000, 0.2468)  3 Sb 3.05, 3 Sn 3.14
Sn (0.0000, 0.0000, 0.0000)  6 Ho 3.14
Sb (0.0000, 0.0000, 0.5000)  6 Ho 3.05

Formation energy without anion corrections, eV per atom: -0.8108
DOS(E_F), states/eV/cell: 2.48
Polymorph energy (0 for the lowest one), eV per atom: 0.0922

***

A relaxed structure of TeOs2W. Source: Alexandria, functional PBE.

Cell: 9.3748 2.9704 4.8236 Å, 90.00 96.27 90.00°
Last column: nearest neighbours and their distance in Å.
Space group C2/m (No. 12)
Symmetry-distinct sites (fractional):
Te (0.0000, 0.0000, 0.0000)  2 Os 2.68, 4 W 2.83, 2 Te 2.97
Os (0.2329, 0.0000, 0.7233)  4 Os 2.66-2.97, 1 Te 2.68, 3 W 2.76-2.83
W (0.0000, 0.5000, 0.5000)  6 Os 2.76-2.83, 4 Te 2.83, 2 W 2.97

Formation energy without anion corrections, eV per atom: 0.6709
DOS(E_F), states/eV/cell: 6.02

***

A relaxed structure of BaCrCu2S4. Source: Alexandria, functional PBE.

Cell: 6.0088 7.4339 8.2095 Å, 90.00 90.00 90.00°
Last column: nearest neighbours and their distance in Å.
Space group I222 (No. 23)
Symmetry-distinct sites (fractional):
Ba (0.0000, 0.0000, 0.0000)  8 S 3.29-3.30
Cr (0.0000, 0.0000, 0.5000)  4 S 2.22
Cu (0.0000, 0.5000, 0.1542)  2 S 2.18
S (0.2052, 0.1713, 0.3378)  1 Cu 2.18, 1 Cr 2.22

Formation energy without anion corrections, eV per atom: -0.7820

***

A relaxed structure of BaCr2Re. Source: Alexandria, functional PBE.

Cell: 3.2087 3.2087 28.3711 Å, 90.00 90.00 120.00°
Last column: nearest neighbours and their distance in Å.
Space group R-3m (No. 166, hexagonal axes)
Symmetry-distinct sites (fractional):
Ba (0.0000, 0.0000, 0.0000)  6 Ba 3.21, 6 Cr 3.53
Cr (0.0000, 0.0000, 0.2274)  3 Re 2.53
Re (0.0000, 0.0000, 0.5000)  6 Cr 2.53

ΔE_f, eV/atom: 1.089
DOS(E_F), states/eV/cell: 12.34
Polymorph energy (0 for the lowest one), eV per atom: 0.3990

***

A relaxed structure of Pm12Te2Pb5. Source: Alexandria, functional PBE.

Cell: 17.4508 7.9422 9.9146 Å, 90.00 102.03 90.00°
Last column: nearest neighbours and their distance in Å.
Space group C2/m (No. 12)
Symmetry-distinct sites (fractional):
Pm (0.0124, 0.0000, 0.2472)  2 Pb 3.19-3.56, 2 Te 3.19
Pm (0.0872, 0.5000, 0.8160)  1 Pb 3.19, 2 Te 3.22
Pm (0.1386, 0.2271, 0.5564)  4 Pb 3.19-3.26
Pm (0.1761, 0.2440, 0.1079)  1 Te 3.04, 3 Pb 3.13-3.32
Te (0.0000, 0.2618, 0.0000)  6 Pm 3.04-3.22
Pb (0.0000, 0.5000, 0.5000)  6 Pm 3.19-3.21
Pb (0.1741, 0.0000, 0.8357)  7 Pm 3.19-3.32
Pb (0.2197, 0.0000, 0.3601)  6 Pm 3.13-3.26

Formation energy without anion corrections, eV per atom: -0.4340
DOS(E_F), states/eV/cell: 44.14

***

A relaxed structure of Pr2GaSb3Pd4. Source: Alexandria, functional PBE.

Cell: 4.4641 4.4641 11.0105 Å, 90.00 90.00 90.00°
Last column: nearest neighbours and their distance in Å.
Space group P-4m2 (No. 115)
Symmetry-distinct sites (fractional):
Pr (0.0000, 0.5000, 0.2465)  6 Sb 3.38-3.57, 8 Pd 3.45-3.51, 2 Ga 3.57
Ga (0.0000, 0.0000, 0.5000)  4 Pd 2.63
Sb (0.0000, 0.5000, 0.8635)  5 Pd 2.60-2.69
Sb (0.5000, 0.5000, 0.5000)  4 Pd 2.63
Pd (0.0000, 0.0000, 0.0000)  4 Sb 2.69
Pd (0.0000, 0.5000, 0.6271)  3 Sb 2.60-2.63, 2 Ga 2.63
Pd (0.5000, 0.5000, 0.0000)  4 Sb 2.69

Formation energy without anion corrections, eV per atom: -0.8569
DOS(E_F), states/eV/cell: 3.70

***

A relaxed structure of Ac6CoRh2Br2. Source: Alexandria, functional PBE.

Cell: 7.4764 12.9696 8.4887 Å, 90.00 107.08 90.00°
Last column: nearest neighbours and their distance in Å.
Space group C2/m (No. 12)
Symmetry-distinct sites (fractional):
Ac (0.2290, 0.1624, 0.1953)  1 Co 2.91, 2 Rh 2.96-2.97
Ac (0.2381, 0.5000, 0.1951)  1 Co 2.91, 2 Rh 3.00
Co (0.0000, 0.0000, 0.0000)  6 Ac 2.91
Rh (0.0000, 0.3304, 0.0000)  6 Ac 2.96-3.00
Br (0.0000, 0.1659, 0.5000)  6 Ac 3.49-3.56

Formation energy without anion corrections, eV per atom: -0.8182
DOS(E_F), states/eV/cell: 12.63

***

A relaxed structure of TlP. Source: Alexandria, functional PBE.

Cell: 5.4785 5.4785 3.0772 Å, 90.00 90.00 90.00°
Last column: nearest neighbours and their distance in Å.
Space group P4/nmm (No. 129, origin choice 2)
Symmetry-distinct sites (fractional):
Tl (0.2500, 0.7500, 0.0000)  4 P 2.85, 2 Tl 3.08
P (0.2500, 0.2500, 0.2549)  4 Tl 2.85, 2 P 3.08

ΔE_f, eV/atom: 0.489
DOS(E_F), states/eV/cell: 2.49

***

A relaxed structure of HgRu3. Source: Alexandria, functional PBE.

Cell: 2.8118 9.1664 4.8294 Å, 90.00 90.00 90.00°
Last column: nearest neighbours and their distance in Å.
Space group Imm2 (No. 44)
Symmetry-distinct sites (fractional):
Hg (0.0000, 0.0000, 0.0000)  10 Ru 2.75-2.90, 2 Hg 2.81
Ru (0.0000, 0.2325, 0.6346)  8 Ru 2.65-2.81, 3 Hg 2.77-2.90
Ru (0.0000, 0.5000, 0.9894)  6 Ru 2.65-2.81, 4 Hg 2.75-2.84

ΔE_f, eV/atom: 0.515
DOS(E_F), states/eV/cell: 11.27

***

A relaxed structure of Zn2Pd2Au. Source: Alexandria, functional PBE.

Cell: 3.6251 3.6251 12.7754 Å, 90.00 90.00 90.00°
Last column: nearest neighbours and their distance in Å.
Space group I4/mmm (No. 139)
Symmetry-distinct sites (fractional):
Zn (0.0000, 0.5000, 0.2500)  4 Zn 2.56, 4 Pd 2.58
Pd (0.0000, 0.0000, 0.1062)  4 Zn 2.58, 1 Pd 2.71
Au (0.0000, 0.0000, 0.5000)  8 Pd 2.90

ΔE_f, eV/atom: -0.115
DOS(E_F), states/eV/cell: 5.55
Polymorph energy (0 for the lowest one), eV per atom: 0.2559

***

A relaxed structure of La2PrSb. Source: Alexandria, functional PBE.

Cell: 4.9654 4.9654 5.0437 Å, 90.00 90.00 90.00°
Last column: nearest neighbours and their distance in Å.
Space group P4/mmm (No. 123)
Symmetry-distinct sites (fractional):
La (0.0000, 0.5000, 0.0000)  4 La 3.51, 4 Sb 3.54, 4 Pr 3.54
Pr (0.0000, 0.0000, 0.5000)  4 Sb 3.51, 8 La 3.54
Sb (0.5000, 0.5000, 0.5000)  4 Pr 3.51, 8 La 3.54

Formation energy without anion corrections, eV per atom: -0.6063
DOS(E_F), states/eV/cell: 4.39
Polymorph energy (0 for the lowest one), eV per atom: 0.0000

***

A relaxed structure of AcHoHg. Source: Alexandria, functional PBE.

Cell: 3.8477 3.8477 13.0856 Å, 90.00 90.00 90.00°
Last column: nearest neighbours and their distance in Å.
Space group I4mm (No. 107)
Symmetry-distinct sites (fractional):
Ac (0.0000, 0.0000, 0.0000)  4 Hg 3.59, 5 Ho 3.79-3.90, 4 Ac 3.85
Ho (0.0000, 0.0000, 0.2980)  4 Hg 3.13
Hg (0.0000, 0.0000, 0.6792)  4 Ho 3.13

ΔE_f, eV/atom: -0.283
DOS(E_F), states/eV/cell: 7.86
Polymorph energy (0 for the lowest one), eV per atom: 0.0435

***

A relaxed structure of BiPdPt. Source: Alexandria, functional PBE.

Cell: 3.6299 3.6299 8.7797 Å, 90.00 90.00 90.00°
Last column: nearest neighbours and their distance in Å.
Space group I4mm (No. 107)
Symmetry-distinct sites (fractional):
Bi (0.0000, 0.0000, 0.0000)  5 Pd 2.86-2.99, 5 Pt 2.94-2.95
Pd (0.0000, 0.0000, 0.3257)  5 Bi 2.86-2.99, 5 Pt 2.93-2.98
Pt (0.0000, 0.0000, 0.6654)  5 Pd 2.93-2.98, 5 Bi 2.94-2.95

ΔE_f, eV/atom: -0.151
DOS(E_F), states/eV/cell: 2.72
Polymorph energy (0 for the lowest one), eV per atom: 0.0621

***

A relaxed structure of Y2MgTa. Source: Alexandria, functional PBE.

Cell: 3.2759 3.2759 32.8078 Å, 90.00 90.00 120.00°
Last column: nearest neighbours and their distance in Å.
Space group R3m (No. 160, hexagonal axes)
Symmetry-distinct sites (fractional):
Y (0.0000, 0.0000, 0.0000)  6 Y 3.28, 3 Mg 3.44
Y (0.0000, 0.0000, 0.2367)  3 Ta 3.10, 6 Y 3.28
Mg (0.0000, 0.0000, 0.7542)  3 Ta 3.08, 6 Mg 3.28, 3 Y 3.44
Ta (0.0000, 0.0000, 0.4952)  3 Mg 3.08, 3 Y 3.10, 6 Ta 3.28

ΔE_f, eV/atom: 0.342
DOS(E_F), states/eV/cell: 18.08

***

A relaxed structure of TmZrAl2. Source: Alexandria, functional PBE.

Cell: 4.5098 4.5098 4.0799 Å, 90.00 90.00 90.00°
Last column: nearest neighbours and their distance in Å.
Space group P4/mmm (No. 123)
Symmetry-distinct sites (fractional):
Tm (0.0000, 0.0000, 0.0000)  8 Al 3.04, 4 Zr 3.19
Zr (0.5000, 0.5000, 0.0000)  8 Al 3.04, 4 Tm 3.19
Al (0.0000, 0.5000, 0.5000)  4 Zr 3.04, 4 Tm 3.04, 4 Al 3.19

ΔE_f, eV/atom: -0.349
DOS(E_F), states/eV/cell: 3.21
Polymorph energy (0 for the lowest one), eV per atom: 0.0074

***

A relaxed structure of KBaCa2. Source: Alexandria, functional PBE.

Cell: 4.0362 6.6865 7.8743 Å, 90.00 99.15 90.00°
Last column: nearest neighbours and their distance in Å.
Space group Pm (No. 6)
Symmetry-distinct sites (fractional):
K (0.0000, 0.0000, 0.0000)  2 K 4.04, 5 Ca 4.06-4.50, 2 Ba 4.18
Ba (0.7481, 0.5000, 0.2713)  4 Ca 3.92-4.34, 2 Ba 4.04, 2 K 4.18
Ca (0.2326, 0.5000, 0.7440)  2 Ba 3.92-4.34, 4 Ca 3.97-4.04, 2 K 4.09
Ca (0.4660, 0.0000, 0.5179)  4 Ca 3.97-4.04, 2 K 4.06-4.21, 2 Ba 4.12

ΔE_f, eV/atom: 0.126
DOS(E_F), states/eV/cell: 5.23
Polymorph energy (0 for the lowest one), eV per atom: 0.0338

***

A relaxed structure of MnSbAu. Source: Alexandria, functional PBE.

Cell: 6.4479 6.4479 6.4479 Å, 90.00 90.00 90.00°
Last column: nearest neighbours and their distance in Å.
Space group F-43m (No. 216)
Symmetry-distinct sites (fractional):
Mn (0.0000, 0.0000, 0.0000)  4 Au 2.79
Sb (0.0000, 0.0000, 0.5000)  4 Au 2.79
Au (0.2500, 0.2500, 0.2500)  4 Mn 2.79, 4 Sb 2.79

Formation energy without anion corrections, eV per atom: 0.0507
DOS(E_F), states/eV/cell: 4.72
Polymorph energy (0 for the lowest one), eV per atom: 0.0408

***

A relaxed structure of VCoS. Source: Alexandria, functional PBE.

Cell: 6.9565 7.9288 11.1284 Å, 90.00 90.00 90.00°
Last column: nearest neighbours and their distance in Å.
Space group Fddd (No. 70, origin choice 2)
Symmetry-distinct sites (fractional):
V (0.0000, 0.0000, 0.0000)  2 S 2.29
Co (0.1250, 0.1250, 0.4717)  4 S 2.13-2.19
S (0.1250, 0.2989, 0.6250)  4 Co 2.13-2.19, 2 V 2.29

Formation energy without anion corrections, eV per atom: -0.1810
DOS(E_F), states/eV/cell: 31.25
Polymorph energy (0 for the lowest one), eV per atom: 0.1637

***

A relaxed structure of Pm2Th2Ge3. Source: Alexandria, functional PBE.

Cell: 13.5788 4.1254 7.6805 Å, 90.00 115.52 90.00°
Last column: nearest neighbours and their distance in Å.
Space group C2/m (No. 12)
Symmetry-distinct sites (fractional):
Pm (0.1049, 0.0000, 0.2621)  4 Ge 2.98-3.24
Th (0.1649, 0.0000, 0.7682)  5 Ge 3.01-3.09
Ge (0.0000, 0.5000, 0.5000)  4 Th 3.09, 2 Ge 3.30, 4 Pm 3.44
Ge (0.0923, 0.5000, 0.9737)  1 Ge 2.71, 2 Pm 2.98, 3 Th 3.01-3.03

ΔE_f, eV/atom: -0.529
DOS(E_F), states/eV/cell: 11.85

***

A relaxed structure of BeTlTe3. Source: Alexandria, functional PBE.

Cell: 5.1573 5.1573 5.1573 Å, 90.00 90.00 90.00°
Last column: nearest neighbours and their distance in Å.
Space group Pm-3m (No. 221)
Symmetry-distinct sites (fractional):
Be (0.0000, 0.0000, 0.0000)  6 Te 2.58
Tl (0.5000, 0.5000, 0.5000)  12 Te 3.65
Te (0.0000, 0.0000, 0.5000)  2 Be 2.58

Formation energy without anion corrections, eV per atom: 0.1469
DOS(E_F), states/eV/cell: 4.69
Polymorph energy (0 for the lowest one), eV per atom: 0.0000

***

A relaxed structure of TlPRh2. Source: Alexandria, functional PBE.

Cell: 3.1354 3.2432 13.5289 Å, 90.00 90.00 90.00°
Last column: nearest neighbours and their distance in Å.
Space group Imm2 (No. 44)
Symmetry-distinct sites (fractional):
Tl (0.0000, 0.0000, 0.0000)  6 Rh 2.90-2.93, 4 Tl 3.14-3.24
P (0.0000, 0.5000, 0.2421)  6 Rh 2.29-2.40
Rh (0.0000, 0.0000, 0.3616)  2 P 2.29
Rh (0.0000, 0.5000, 0.6805)  4 P 2.40

ΔE_f, eV/atom: -0.271
DOS(E_F), states/eV/cell: 3.86

***

A relaxed structure of SrYZnN2. Source: Alexandria, functional PBE.

Cell: 5.6034 5.3595 6.6672 Å, 90.00 90.04 90.00°
Last column: nearest neighbours and their distance in Å.
Space group P2/c (No. 13)
Symmetry-distinct sites (fractional):
Sr (0.0000, 0.0015, 0.2500)  4 N 2.75-2.76
Y (0.5000, 0.5003, 0.2500)  4 N 2.37
Zn (0.5000, 0.0000, 0.0000)  2 N 1.88
N (0.2906, 0.2730, 0.0001)  1 Zn 1.88

Formation energy without anion corrections, eV per atom: -0.5651
DOS(E_F), states/eV/cell: 5.16

***

A relaxed structure of LiPrZn2H8. Source: Alexandria, functional PBE.

Cell: 4.6197 4.6197 6.7603 Å, 90.00 90.00 120.00°
Last column: nearest neighbours and their distance in Å.
Space group P-3 (No. 147)
Symmetry-distinct sites (fractional):
Li (0.0000, 0.0000, 0.0000)  6 H 1.90
Pr (0.0000, 0.0000, 0.5000)  12 H 2.43-2.67
Zn (0.3333, 0.6667, 0.2365)  4 H 1.62-1.75
H (0.0151, 0.2969, 0.2005)  1 Zn 1.62
H (0.3333, 0.6667, 0.4949)  1 Zn 1.75

DOS(E_F), states/eV/cell: 0.00
Raw total energy, eV/atom: -3.189

***

A relaxed structure of Rb2ScOF3. Source: Alexandria, functional PBE.

Cell: 4.0739 4.3130 14.2843 Å, 90.00 90.00 90.00°
Last column: nearest neighbours and their distance in Å.
Space group Immm (No. 71)
Symmetry-distinct sites (fractional):
Rb (0.0000, 0.0000, 0.1477)  7 F 2.91-2.97, 2 O 3.02
Sc (0.0000, 0.0000, 0.5000)  2 O 2.04, 4 F 2.13-2.16
O (0.0000, 0.5000, 0.0000)  2 Sc 2.04
F (0.0000, 0.0000, 0.3511)  1 Sc 2.13
F (0.0000, 0.5000, 0.5000)  2 Sc 2.16

Formation energy without anion corrections, eV per atom: -3.1088
DOS(E_F), states/eV/cell: 0.00